#P
VASP calculation (PBE) on an optimized crystal structure of AgMoCl2.

Cell and atoms, written as POSCAR:
```
AgMoCl2
1.0
4.154 0.000 0.000
0.000 2.966 -0.033
0.000 -0.512 6.004
Cl Ag Mo
2 1 1
Direct
0.000 0.207 0.017
0.000 0.293 0.483
0.500 0.750 0.750
0.500 0.250 0.250
```

Values from the calculation:
N(E_F) = 0.66 states/eV per atom
calculated density = 6.17 Mg/m³
crystal system = monoclinic



#Q
VASP calculation (PBE) on an optimized crystal structure of AgMoCl2.

Cell and atoms, written as POSCAR:
```
AgMoCl2
1.0
-1.302 2.749 0.050
-1.924 -0.987 4.140
4.772 2.163 5.334
Cl Ag Mo
2 1 1
Direct
0.500 0.398 0.324
0.000 0.108 0.912
0.500 0.725 0.676
0.000 0.269 0.587
```

Values from the calculation:
N(E_F) = 0.73 states/eV per atom
calculated density = 4.51 Mg/m³
crystal system = monoclinic



#R
VASP calculation (PBE) on an optimized crystal structure of AgMoCl2.

Cell and atoms, written as POSCAR:
```
AgMoCl2
1.0
-1.877 -2.340 -0.164
1.706 -1.506 1.961
-5.302 3.729 7.476
Cl Mo Ag
2 1 1
Direct
0.000 0.000 0.099
0.000 0.000 0.401
0.500 0.500 0.250
0.500 0.500 0.750
```

Values from the calculation:
N(E_F) = 0.82 states/eV per atom
calculated density = 5.11 Mg/m³
crystal system = tetragonal



#S
VASP calculation (PBE) on an optimized crystal structure of AgMoCl2.

Cell and atoms, written as POSCAR:
```
AgMoCl2
1.0
10.804 0.044 0.026
10.351 3.097 0.026
10.351 1.537 2.689
Cl Mo Ag
2 1 1
Direct
0.971 0.971 0.971
0.529 0.529 0.529
0.250 0.250 0.250
0.750 0.750 0.750
```

Values from the calculation:
N(E_F) = 0.80 states/eV per atom
calculated density = 5.19 Mg/m³
crystal system = trigonal



Ranked by calculated energy, most stable first: #S, #Q, #R, #P.



#P
VASP calculation (PBE) on an optimized crystal structure of AgMoCl.

Cell and atoms, written as POSCAR:
```
AgMoCl
1.0
-0.840 -1.709 -7.496
1.406 -3.365 -6.508
-2.664 -1.259 -0.277
Ag Mo Cl
1 1 1
Direct
0.014 0.014 0.986
0.678 0.678 0.322
0.308 0.308 0.692
```

Values from the calculation:
N(E_F) = 0.49 states/eV per atom
calculated density = 7.06 Mg/m³
crystal system = orthorhombic



#Q
VASP calculation (PBE) on an optimized crystal structure of AgMoCl.

Cell and atoms, written as POSCAR:
```
AgMoCl
1.0
4.345 0.000 0.000
2.173 3.763 0.000
2.173 1.254 3.548
Ag Cl Mo
1 1 1
Direct
0.000 0.000 0.000
0.500 0.500 0.500
0.250 0.250 0.250
```

Values from the calculation:
N(E_F) = 0.13 states/eV per atom
calculated density = 6.85 Mg/m³
crystal system = cubic



#R
VASP calculation (PBE) on an optimized crystal structure of AgMoCl.

Cell and atoms, written as POSCAR:
```
AgMoCl
1.0
-4.902 -3.351 -3.490
-1.405 -3.515 -5.754
3.688 1.658 5.576
Mo Cl Ag
1 1 1
Direct
0.677 0.677 0.000
0.294 0.294 0.000
0.029 0.029 0.000
```

Values from the calculation:
N(E_F) = 0.72 states/eV per atom
calculated density = 6.96 Mg/m³
crystal system = tetragonal



Ranked by calculated energy, most stable first: #P, #R, #Q.



#P
VASP calculation (PBE) on an optimized crystal structure of AgMoCl.

Cell and atoms, written as POSCAR:
```
AgMoCl
1.0
4.532 0.000 0.000
-2.266 3.925 0.000
0.000 0.000 2.855
Cl Mo Ag
1 1 1
Direct
0.333 0.667 0.501
0.667 0.333 0.500
0.000 0.000 0.000
```

Values from the calculation:
N(E_F) = 1.01 states/eV per atom
calculated density = 7.82 Mg/m³
crystal system = hexagonal



#Q
VASP calculation (PBE) on an optimized crystal structure of AgMoCl.

Cell and atoms, written as POSCAR:
```
AgMoCl
1.0
3.032 0.000 0.000
-1.516 2.626 0.000
0.000 0.000 7.165
Mo Cl Ag
1 1 1
Direct
0.333 0.667 0.639
0.667 0.333 0.403
0.000 0.000 0.959
```

Values from the calculation:
N(E_F) = 0.89 states/eV per atom
calculated density = 6.97 Mg/m³
crystal system = trigonal



Ranked by calculated energy, most stable first: #Q, #P.



#P
VASP calculation (PBE) on an optimized crystal structure of AgMoCl4.

Cell and atoms, written as POSCAR:
```
AgMoCl4
1.0
-4.950 0.130 -15.954
2.973 -4.669 5.627
-2.538 1.155 7.385
Cl Ag Mo
8 2 2
Direct
0.504 0.514 0.211
0.485 0.920 0.767
0.004 0.211 0.514
0.015 0.233 0.080
0.996 0.789 0.486
0.515 0.080 0.233
0.496 0.486 0.789
0.985 0.767 0.920
0.750 0.156 0.844
0.250 0.844 0.156
0.750 0.634 0.366
0.250 0.366 0.634
```

Values from the calculation:
calculated density = 3.45 Mg/m³
crystal system = monoclinic



#Q
VASP calculation (PBE) on an optimized crystal structure of AgMoCl4.

Cell and atoms, written as POSCAR:
```
AgMoCl4
1.0
-2.444 -1.996 4.943
-5.192 2.087 1.754
-4.767 -3.407 -0.254
Cl Mo Ag
4 1 1
Direct
0.876 0.375 0.375
0.375 0.375 0.876
0.375 0.375 0.375
0.375 0.876 0.375
0.750 0.750 0.750
0.000 0.000 0.000
```

Values from the calculation:
N(E_F) = 0.70 states/eV per atom
calculated density = 4.02 Mg/m³
crystal system = cubic



Ranked by calculated energy, most stable first: #P, #Q.



#P
VASP calculation (PBE) on an optimized crystal structure of AgMoPCl2.

Cell and atoms, written as POSCAR:
```
AgMoPCl2
1.0
4.952 0.000 0.000
0.000 4.952 0.000
0.000 0.000 4.984
Ag Cl Mo P
1 2 1 1
Direct
0.000 0.000 0.000
0.000 0.500 0.000
0.500 0.000 0.000
0.500 0.500 0.500
0.000 0.000 0.500
```

Values from the calculation:
N(E_F) = 0.50 states/eV per atom
calculated density = 4.15 Mg/m³
crystal system = tetragonal



#Q
VASP calculation (PBE) on an optimized crystal structure of AgMoPCl2.

Cell and atoms, written as POSCAR:
```
AgMoPCl2
1.0
-2.431 3.831 -1.886
-4.158 -2.617 0.043
-0.935 1.557 4.369
P Cl Mo Ag
1 2 1 1
Direct
0.000 0.000 0.500
0.500 0.000 0.000
0.000 0.500 0.000
0.000 0.000 0.000
0.500 0.500 0.500
```

Values from the calculation:
N(E_F) = 0.68 states/eV per atom
calculated density = 4.44 Mg/m³
crystal system = tetragonal



Ranked by calculated energy, most stable first: #Q, #P.



#P
VASP calculation (PBE) on an optimized crystal structure of AgMoS2Cl.

Cell and atoms, written as POSCAR:
```
AgMoS2Cl
1.0
-1.003 3.717 2.591
-2.652 -2.634 2.751
4.022 -0.970 2.948
Cl S Ag Mo
1 2 1 1
Direct
0.000 0.000 0.500
0.500 0.000 0.000
0.000 0.500 0.000
0.500 0.500 0.500
0.000 0.000 0.000
```

Values from the calculation:
N(E_F) = 0.88 states/eV per atom
calculated density = 4.60 Mg/m³
crystal system = tetragonal



#Q
VASP calculation (PBE) on an optimized crystal structure of AgMoS2Cl.

Cell and atoms, written as POSCAR:
```
AgMoS2Cl
1.0
-0.079 -4.408 -2.117
1.502 -2.037 4.185
-4.508 -0.564 1.344
S Cl Ag Mo
2 1 1 1
Direct
0.500 0.000 0.000
0.000 0.500 0.000
0.000 0.000 0.500
0.000 0.000 0.000
0.500 0.500 0.500
```

Values from the calculation:
N(E_F) = 0.62 states/eV per atom
calculated density = 4.45 Mg/m³
crystal system = tetragonal



Ranked by calculated energy, most stable first: #P, #Q.